# NaNi2SnBr | Alexandria via LeMat-Bulk | GGA-PBE | optimized geometry
data_NaNi2SnBr
_cell_length_a 4.794
_cell_length_b 4.794
_cell_length_c 4.996
_cell_angle_alpha 90.00
_cell_angle_beta 90.00
_cell_angle_gamma 90.00
_symmetry_space_group_name_H-M 'P 4/m m m'
_symmetry_Int_Tables_number 123
_symmetry_space_group_name_Hall '-P 4 2'
loop_
_atom_site_label
_atom_site_fract_x
_atom_site_fract_y
_atom_site_fract_z
Na1 0.000 0.000 0.000
Ni1 0.000 0.500 0.000
Sn1 0.500 0.500 0.500
Br1 0.000 0.000 0.500
# * E_form (uncorrected): 1.003 eV/atom
# * ρ: 4902 kg/m3
# * magnetic moment: 0.000 μB per atom
# * E_tot: -2.708 eV/atom
# * Fermi-level density of states: 2.81 states/eV/f.u.